[1]
Sb2MoBr | PBE-GGA | relaxed

Cell: 3.5420 3.5420 8.0217 Å, 90.00 90.00 90.00°
Site moments in Bohr magnetons follow the coordinates.
Fractional coordinates of all 4 atoms:
Sb (0.0000, 0.0000, 0.9540)  -0.02
Sb (0.5000, 0.5000, 0.1780)  -0.02
Mo (0.5000, 0.5000, 0.8022)  0.86
Br (0.0000, 0.0000, 0.5658)  0.04

## Properties
As for the magnetization: 0.93 μB/f.u. As for the density of states at the Fermi level: 2.9 states/eV/cell. Its final energy is -4.88 eV/atom. The value obtained for the polymorph energy (0 for the lowest one) is 233.0 meV per atom. Its raw formation energy is 0.309 eV/atom. Its space group is No. 99.

***

[2]
BaRe2P | PBE-GGA | relaxed

Cell: 4.9857 4.9857 8.9465 Å, 73.82 73.82 90.00°
Fractional coordinates of all 8 atoms:
Re (0.3751, 0.1250, 0.2500)
Re (0.3749, 0.6250, 0.2500)
Re (0.3750, 0.6249, 0.7500)
Re (0.8750, 0.6251, 0.7500)
Ba (0.0000, 0.0000, 0.0000)
Ba (0.7500, 0.2500, 0.5000)
P (0.5000, 0.5000, 0.0000)
P (0.2500, 0.7500, 0.5000)

## Properties
As for the magnetization: 0.00 μB/f.u. As for the density of states at the Fermi level: 10.5 states/eV/cell. Its final energy is -7.56 eV/atom. Its space group is No. 141.

***

[3]
MgFe2Mo | PBE-GGA | relaxed

Cell: 4.1713 2.6081 5.3875 Å, 78.05 90.00 90.00°
Site moments in Bohr magnetons follow the coordinates.
Fractional coordinates of all 4 atoms:
Fe (0.0000, 0.9972, 0.9775)  2.27
Fe (0.0000, 0.5028, 0.5225)  2.27
Mg (0.5000, 0.2500, 0.2500)  -0.02
Mo (0.5000, 0.7500, 0.7500)  -0.17

## Properties
As for the magnetization: 4.30 μB/f.u. As for the density of states at the Fermi level: 3.3 states/eV/cell. Its final energy is -7.06 eV/atom. Its space group is No. 10.

***

[4]
SbTe2PdSe | PBE-GGA | relaxed

Cell: 5.3943 5.3943 5.3929 Å, 90.00 90.00 90.00°
Fractional coordinates of all 5 atoms:
Sb (0.0000, 0.0000, 0.5000)
Te (0.0000, 0.5000, 0.0000)
Te (0.5000, 0.0000, 0.0000)
Se (0.0000, 0.0000, 0.0000)
Pd (0.5000, 0.5000, 0.5000)

## Properties
As for the magnetization: 0.00 μB/f.u. As for the density of states at the Fermi level: 5.6 states/eV/cell. Its final energy is -3.01 eV/atom. The value obtained for the polymorph energy (0 for the lowest one) is 364.2 meV per atom. Its raw formation energy is 0.806 eV/atom. Its space group is No. 123.

***

[5]
La4PmY10 | PBE-GGA | relaxed

Cell: 10.7784 8.8050 8.8050 Å, 68.00 52.26 52.26°
Fractional coordinates of all 15 atoms:
La (0.3346, 0.7297, 0.6012)
La (0.9357, 0.3988, 0.7297)
La (0.0643, 0.6012, 0.2703)
La (0.6654, 0.2703, 0.3988)
Pm (0.0000, 0.0000, 0.0000)
Y (0.2500, 0.5000, 0.5000)
Y (0.5443, 0.3230, 0.9080)
Y (0.1327, 0.0920, 0.3230)
Y (0.5477, 0.9080, 0.6770)
Y (0.7753, 0.6770, 0.0920)
Y (0.4557, 0.6770, 0.0920)
Y (0.7500, 0.5000, 0.5000)
Y (0.2247, 0.3230, 0.9080)
Y (0.4523, 0.0920, 0.3230)
Y (0.8673, 0.9080, 0.6770)

## Properties
As for the magnetization: 0.00 μB/f.u. As for the density of states at the Fermi level: 24.2 states/eV/cell. Its final energy is -5.60 eV/atom. Its space group is No. 87.

***

[6]
Sr2LaPO | PBE-GGA | relaxed

Cell: 4.9673 4.9673 4.9170 Å, 90.00 90.00 90.00°
Fractional coordinates of all 5 atoms:
Sr (0.0000, 0.5000, 0.0000)
Sr (0.5000, 0.0000, 0.0000)
O (0.0000, 0.0000, 0.0000)
P (0.5000, 0.5000, 0.5000)
La (0.0000, 0.0000, 0.5000)

## Properties
As for the magnetization: 0.00 μB/f.u. As for the density of states at the Fermi level: 3.4 states/eV/cell. Its final energy is -5.06 eV/atom. Its raw formation energy is -1.331 eV/atom. Its space group is No. 123.

***

[7]
MnCr2Rh | PBE-GGA | relaxed

Cell: 4.4985 4.4985 4.4767 Å, 80.74 80.74 33.47°
Site moments in Bohr magnetons follow the coordinates.
Fractional coordinates of all 4 atoms:
Cr (0.0009, 0.0009, 0.0080)  -0.36
Cr (0.4991, 0.4991, 0.4920)  -0.36
Mn (0.2500, 0.2500, 0.2500)  1.54
Rh (0.7500, 0.7500, 0.7500)  -0.01

## Properties
As for the magnetization: 0.80 μB/f.u. As for the density of states at the Fermi level: 4.5 states/eV/cell. Its final energy is -8.83 eV/atom. The value obtained for the polymorph energy (0 for the lowest one) is 116.3 meV per atom. Its space group is No. 12.

***

[8]
SeSBr2 | PBE-GGA | relaxed

Cell: 7.4796 7.4796 6.4856 Å, 54.79 54.79 90.00°
Fractional coordinates of all 8 atoms:
S (0.5000, 0.5000, 0.0000)
S (0.2500, 0.7500, 0.5000)
Se (0.0000, 0.0000, 0.0000)
Se (0.7500, 0.2500, 0.5000)
Br (0.6211, 0.1250, 0.2500)
Br (0.1289, 0.6250, 0.2500)
Br (0.3750, 0.3789, 0.7500)
Br (0.8750, 0.8711, 0.7500)

## Properties
As for the magnetization: 0.00 μB/f.u. As for the density of states at the Fermi level: 6.1 states/eV/cell. Its final energy is -1.99 eV/atom. The value obtained for the polymorph energy (0 for the lowest one) is 756.1 meV per atom. Its raw formation energy is 0.749 eV/atom. Its space group is No. 122.